Density functional theory data (PBE-GGA) for crystalline LaNiSb3 at its relaxed geometry.

```
LaNiSb3
1.0
6.283 0.000 0.000
0.000 12.320 0.000
0.000 0.000 12.976
La Sb Ni
8 24 8
Direct
0.250 0.000 0.700 La
0.750 0.000 0.300 La
0.278 0.750 0.303 La
0.250 0.500 0.700 La
0.222 0.250 0.303 La
0.722 0.250 0.697 La
0.778 0.750 0.697 La
0.750 0.500 0.300 La
0.277 0.750 0.787 Sb
0.250 0.000 0.219 Sb
0.723 0.250 0.213 Sb
0.750 0.000 0.028 Sb
0.514 0.876 0.503 Sb
0.750 0.500 0.781 Sb
0.777 0.750 0.213 Sb
0.986 0.376 0.503 Sb
0.986 0.124 0.503 Sb
0.904 0.750 0.944 Sb
0.514 0.624 0.503 Sb
0.250 0.500 0.219 Sb
0.250 0.000 0.972 Sb
0.014 0.876 0.497 Sb
0.750 0.000 0.781 Sb
0.486 0.376 0.497 Sb
0.404 0.750 0.056 Sb
0.750 0.500 0.028 Sb
0.014 0.624 0.497 Sb
0.223 0.250 0.787 Sb
0.596 0.250 0.944 Sb
0.486 0.124 0.497 Sb
0.096 0.250 0.056 Sb
0.250 0.500 0.972 Sb
0.547 0.636 0.904 Ni
0.453 0.364 0.096 Ni
0.453 0.136 0.096 Ni
0.547 0.864 0.904 Ni
0.953 0.136 0.904 Ni
0.953 0.364 0.904 Ni
0.047 0.864 0.096 Ni
0.047 0.636 0.096 Ni
```

Values from the calculation:
Offset from the most stable computed form: 0 meV per atom
Calculated total energy: -5.269 eV/atom
Space group: Pbcm (57)
Mass density: 7.4 g/cm3
Formation energy without anion corrections: -0.653 eV per atom

=====

Density functional theory data (PBE-GGA) for crystalline CaPm4Sm2Tm at its relaxed geometry.

```
CaPm4Sm2Tm
1.0
9.514 0.032 -1.855
0.025 9.514 -1.855
-6.091 -6.095 8.562
Pm Tm Ca Sm
8 2 2 4
Direct
0.246 0.752 0.517 Pm
0.742 0.736 0.003 Pm
0.258 0.264 0.997 Pm
0.764 0.758 0.497 Pm
0.252 0.746 0.017 Pm
0.754 0.248 0.483 Pm
0.748 0.254 0.983 Pm
0.236 0.242 0.503 Pm
0.000 0.500 0.500 Tm
0.000 0.500 0.000 Tm
0.000 0.000 0.000 Ca
0.500 0.500 0.500 Ca
0.500 0.000 0.000 Sm
0.500 0.500 0.000 Sm
0.500 0.000 0.500 Sm
0.000 0.000 0.500 Sm
```

Values from the calculation:
Calculated total energy: -3.975 eV/atom
Space group: C2/c (15)
Calculated formation energy: 3.12 eV/f.u.
Mass density: 6.5 g/cm3